Entry 1:
Density functional theory data (PBE-GGA) for KLiHf2 after structural relaxation.

Energy of formation ... 1.287 eV/atom
Polymorph energy (0 for the lowest one) ... 0.335 eV/atom
Magnetization ... 0.00 μB per formula unit
Space-group type ... No. 225

Cell: 5.154 5.154 5.154 Å, 60.00 60.00 60.00°
Fractional coordinates of all 4 atoms:
K: 0.500 0.500 0.500
Hf: 0.250 0.250 0.250
Hf: 0.750 0.750 0.750
Li: 0.000 0.000 0.000

Entry 2:
Density functional theory data (PBE-GGA) for LiGdZnPb after structural relaxation.

Energy of formation ... -0.343 eV/atom
Magnetization ... 6.99 μB per formula unit
Space-group type ... No. 216

Cell: 5.085 5.085 5.085 Å, 60.00 60.00 60.00°
Last column: magnetic moment on the atom in μB.
Fractional coordinates of all 4 atoms:
Pb: 0.750 0.750 0.750  -0.04
Zn: 0.250 0.250 0.250  -0.01
Gd: 0.500 0.500 0.500  6.98
Li: 0.000 0.000 0.000  -0.01

Entry 3:
Density functional theory data (PBE-GGA) for Na2MnGeTe4 after structural relaxation.

ΔE_f (raw) ... -0.384 eV/atom
Magnetization ... 3.11 μB per formula unit
Space-group type ... No. 74

Cell: 8.531 8.531 8.491 Å, 119.86 119.85 89.76°
Last column: magnetic moment on the atom in μB.
Fractional coordinates of all 16 atoms:
Na: 0.500 0.000 0.000  0.01
Na: 0.500 0.000 0.500  0.01
Na: 0.000 0.000 0.500  0.00
Na: 0.500 0.500 0.000  0.00
Mn: 0.000 0.500 0.000  3.51
Mn: 0.000 0.500 0.500  3.51
Ge: 0.500 0.500 0.500  -0.02
Ge: 0.000 0.000 0.000  -0.02
Te: 0.209 0.723 0.966  -0.11
Te: 0.777 0.291 0.534  -0.11
Te: 0.223 0.709 0.466  -0.11
Te: 0.791 0.277 0.034  -0.11
Te: 0.771 0.729 0.987  -0.09
Te: 0.771 0.729 0.513  -0.09
Te: 0.229 0.271 0.487  -0.09
Te: 0.229 0.271 0.013  -0.09

Entry 4:
Density functional theory data (PBE-GGA) for InCu2Pb after structural relaxation.

Energy of formation ... 0.207 eV/atom
Magnetization ... 0.00 μB per formula unit
Space-group type ... No. 123

Cell: 3.444 3.444 6.684 Å, 90.00 90.00 89.94°
Fractional coordinates of all 4 atoms:
Cu: 0.000 0.000 0.045
Cu: 0.000 0.000 0.455
In: 0.500 0.500 0.250
Pb: 0.500 0.500 0.750

Entry 5:
Density functional theory data (PBE-GGA) for YPF3 after structural relaxation.

Polymorph energy (0 for the lowest one) ... 0.000 eV/atom
ΔE_f (raw) ... -2.482 eV/atom
Magnetization ... 3.00 μB per formula unit
Space-group type ... No. 221

Cell: 4.487 4.487 4.487 Å, 90.00 90.00 90.00°
Last column: magnetic moment on the atom in μB.
Fractional coordinates of all 5 atoms:
Y: 0.000 0.000 0.000  0.00
P: 0.500 0.500 0.500  1.21
F: 0.000 0.500 0.000  0.04
F: 0.000 0.000 0.500  0.08
F: 0.500 0.000 0.000  0.06

Entry 6:
Density functional theory data (PBE-GGA) for Y3Si2GePd9 after structural relaxation.

ΔE_f (raw) ... -0.633 eV/atom
Magnetization ... 0.00 μB per formula unit
Space-group type ... No. 164

Cell: 6.360 6.360 8.638 Å, 90.00 90.00 120.00°
Fractional coordinates of all 15 atoms:
Y: 0.333 0.667 0.700
Y: 0.000 0.000 0.000
Y: 0.667 0.333 0.300
Si: 0.333 0.667 0.177
Si: 0.667 0.333 0.823
Ge: 0.000 0.000 0.500
Pd: 0.854 0.146 0.715
Pd: 0.854 0.708 0.715
Pd: 0.292 0.146 0.715
Pd: 0.708 0.854 0.285
Pd: 0.146 0.292 0.285
Pd: 0.146 0.854 0.285
Pd: 0.500 0.000 0.000
Pd: 0.000 0.500 0.000
Pd: 0.500 0.500 0.000

Entry 7:
Density functional theory data (PBE-GGA) for Cs2Tl2SeBr2 after structural relaxation.

ΔE_f (raw) ... -1.076 eV/atom
Magnetization ... 0.00 μB per formula unit
Space-group type ... No. 12

Cell: 4.963 7.653 9.072 Å, 71.12 74.12 71.08°
Fractional coordinates of all 7 atoms:
Cs: 0.559 0.198 0.685
Cs: 0.441 0.802 0.315
Tl: 0.217 0.656 0.910
Tl: 0.783 0.344 0.090
Se: 0.000 0.000 0.000
Br: 0.177 0.298 0.348
Br: 0.823 0.702 0.652

Entry 8:
Density functional theory data (PBE-GGA) for Pa6Se8S after structural relaxation.

ΔE_f (raw) ... -1.386 eV/atom
Magnetization ... 0.00 μB per formula unit
Space-group type ... No. 148

Cell: 7.010 7.010 11.042 Å, 71.49 71.49 60.00°
Fractional coordinates of all 15 atoms:
Pa: 0.373 0.051 0.846
Pa: 0.949 0.271 0.154
Pa: 0.271 0.627 0.154
Pa: 0.729 0.373 0.846
Pa: 0.051 0.729 0.846
Pa: 0.627 0.949 0.154
Se: 0.555 0.236 0.313
Se: 0.764 0.104 0.687
Se: 0.104 0.445 0.687
Se: 0.667 0.667 0.000
Se: 0.333 0.333 0.000
Se: 0.896 0.555 0.313
Se: 0.236 0.896 0.313
Se: 0.445 0.764 0.687
S: 0.000 0.000 0.000

Entry 9:
Density functional theory data (PBE-GGA) for MgGe2Pb2 after structural relaxation.

Energy of formation ... 0.053 eV/atom
Polymorph energy (0 for the lowest one) ... 0.000 eV/atom
Magnetization ... 0.00 μB per formula unit
Space-group type ... No. 127

Cell: 7.193 7.193 4.902 Å, 90.00 90.00 90.00°
Fractional coordinates of all 10 atoms:
Pb: 0.183 0.683 0.500
Pb: 0.683 0.817 0.500
Pb: 0.817 0.317 0.500
Pb: 0.317 0.183 0.500
Ge: 0.375 0.875 0.000
Ge: 0.875 0.625 0.000
Ge: 0.625 0.125 0.000
Ge: 0.125 0.375 0.000
Mg: 0.000 0.000 0.000
Mg: 0.500 0.500 0.000

Entry 10:
Density functional theory data (PBE-GGA) for Tb3IrSeCl after structural relaxation.

ΔE_f (raw) ... -1.289 eV/atom
Magnetization ... 0.00 μB per formula unit
Space-group type ... No. 11

Cell: 4.068 8.141 9.887 Å, 93.74 90.00 90.00°
Fractional coordinates of all 12 atoms:
Tb: 0.750 0.814 0.114
Tb: 0.250 0.186 0.886
Tb: 0.250 0.647 0.390
Tb: 0.750 0.353 0.610
Tb: 0.750 0.353 0.180
Tb: 0.250 0.647 0.820
Ir: 0.250 0.569 0.109
Ir: 0.750 0.431 0.891
Se: 0.250 0.085 0.165
Se: 0.750 0.915 0.835
Cl: 0.250 0.135 0.592
Cl: 0.750 0.865 0.408